The following is a DFT calculation (PBE-GGA) of crystalline Y2In2Sn at its relaxed geometry.

Output
**N(E_F)**: 4.3 states/eV per cell
**Distance to the lowest polymorph of the same formula**: 0.00 eV per formula unit
**Formation energy from the elements**: -463.3 meV/atom

Cell: 7.6856 7.6856 4.5916 Å, 90.00 90.00 90.00°
Last column: nearest neighbours and their distance in Å.
Sites, in units of the cell vectors:
In: 0.6310 0.1310 0.0000  1 In 2.85, 2 Sn 3.01, 2 Y 3.15
Sn: 0.0000 0.0000 0.0000  4 In 3.01
In: 0.3690 0.8690 0.0000  1 In 2.85, 2 Sn 3.01, 2 Y 3.15
In: 0.1310 0.3690 0.0000  1 In 2.85, 2 Sn 3.01, 2 Y 3.15
Y: 0.8294 0.3294 0.5000  6 In 3.15-3.28
Sn: 0.5000 0.5000 0.0000  4 In 3.01
Y: 0.6706 0.8294 0.5000  6 In 3.15-3.28
Y: 0.1706 0.6706 0.5000  6 In 3.15-3.28
In: 0.8690 0.6310 0.0000  1 In 2.85, 2 Sn 3.01, 2 Y 3.15
Y: 0.3294 0.1706 0.5000  6 In 3.15-3.28



The following is a DFT calculation (PBE-GGA) of crystalline VFe6Ge at its relaxed geometry.

Output
**N(E_F)**: 26.2 states/eV per cell
**Formation energy from the elements**: -97.1 meV/atom

Cell: 6.3514 6.3514 11.2130 Å, 90.00 90.00 123.87°
Last column: nearest neighbours and their distance in Å.
Sites, in units of the cell vectors:
Fe: 0.0000 0.0000 0.2500  8 Fe 2.47
Fe: 0.6262 0.8786 0.6263  3 V 2.44-2.50, 4 Fe 2.47-2.49, 1 Ge 2.51
Fe: 0.3738 0.1214 0.6263  3 V 2.44-2.50, 4 Fe 2.47-2.49, 1 Ge 2.51
Fe: 0.1227 0.3720 0.3757  1 V 2.45, 4 Fe 2.47-2.49, 3 Ge 2.48-2.50
Fe: 0.8773 0.6280 0.1243  1 V 2.45, 4 Fe 2.47-2.49, 3 Ge 2.48-2.50
Fe: 0.7488 0.2512 0.4995  8 Fe 2.47-2.49
Fe: 0.7488 0.2512 0.0005  8 Fe 2.47-2.49
Fe: 0.3738 0.1214 0.8737  3 V 2.44-2.50, 4 Fe 2.47-2.49, 1 Ge 2.51
V: 0.0000 0.0000 0.4983  8 Fe 2.45-2.50
V: 0.2477 0.7523 0.7500  8 Fe 2.44-2.49
V: 0.7523 0.2477 0.7500  8 Fe 2.44-2.49
Fe: 0.5000 0.5000 0.7500  8 Fe 2.49
Fe: 0.5000 0.5000 0.2500  8 Fe 2.49
Fe: 0.8786 0.6262 0.8737  3 V 2.44-2.50, 4 Fe 2.47-2.49, 1 Ge 2.51
Fe: 0.1214 0.3738 0.8737  3 V 2.44-2.50, 4 Fe 2.47-2.49, 1 Ge 2.51
V: 0.0000 0.0000 0.0017  8 Fe 2.45-2.50
Fe: 0.6262 0.8786 0.8737  3 V 2.44-2.50, 4 Fe 2.47-2.49, 1 Ge 2.51
Fe: 0.8786 0.6262 0.6263  3 V 2.44-2.50, 4 Fe 2.47-2.49, 1 Ge 2.51
Fe: 0.1227 0.3720 0.1243  1 V 2.45, 4 Fe 2.47-2.49, 3 Ge 2.48-2.50
Ge: 0.2495 0.7505 0.2500  8 Fe 2.48-2.50
Fe: 0.8773 0.6280 0.3757  1 V 2.45, 4 Fe 2.47-2.49, 3 Ge 2.48-2.50
Fe: 0.3720 0.1227 0.1243  1 V 2.45, 4 Fe 2.47-2.49, 3 Ge 2.48-2.50
Fe: 0.6280 0.8773 0.3757  1 V 2.45, 4 Fe 2.47-2.49, 3 Ge 2.48-2.50
Fe: 0.2512 0.7488 0.4995  8 Fe 2.47-2.49
Ge: 0.5000 0.5000 0.0004  8 Fe 2.48-2.51
Ge: 0.7505 0.2495 0.2500  8 Fe 2.48-2.50
Fe: 0.0000 0.0000 0.7500  8 Fe 2.47
Fe: 0.2512 0.7488 0.0005  8 Fe 2.47-2.49
Fe: 0.3720 0.1227 0.3757  1 V 2.45, 4 Fe 2.47-2.49, 3 Ge 2.48-2.50
Ge: 0.5000 0.5000 0.4996  8 Fe 2.48-2.51
Fe: 0.6280 0.8773 0.1243  1 V 2.45, 4 Fe 2.47-2.49, 3 Ge 2.48-2.50
Fe: 0.1214 0.3738 0.6263  3 V 2.44-2.50, 4 Fe 2.47-2.49, 1 Ge 2.51



The following is a DFT calculation (PBE-GGA) of crystalline Tm6GaRu5 at its relaxed geometry.

Output
**N(E_F)**: 5.0 states/eV per cell
**Formation energy from the elements**: -491.0 meV/atom

Cell: 4.7715 6.8175 8.2576 Å, 114.38 106.80 90.00°
Last column: nearest neighbours and their distance in Å.
Sites, in units of the cell vectors:
Ga: 0.0000 0.0000 0.0000  8 Tm 2.98-3.00, 4 Ru 3.33
Ru: 0.0000 0.5000 0.0000  8 Tm 2.88-2.95
Ru: 0.6635 0.1632 0.3264  8 Tm 2.89-2.96
Tm: 0.8290 0.0849 0.6580  7 Ru 2.89-2.96, 1 Ga 3.00
Tm: 0.5000 0.2623 0.0000  6 Ru 2.88-2.94, 2 Ga 2.98
Tm: 0.1710 0.9151 0.3420  7 Ru 2.89-2.96, 1 Ga 3.00
Tm: 0.5000 0.7377 0.0000  6 Ru 2.88-2.94, 2 Ga 2.98
Ru: 0.6669 0.6669 0.3337  8 Tm 2.88-2.91
Ru: 0.3331 0.3331 0.6663  8 Tm 2.88-2.91
Tm: 0.8290 0.5731 0.6580  7 Ru 2.89-2.96, 1 Ga 3.00
Ru: 0.3365 0.8368 0.6736  8 Tm 2.89-2.96
Tm: 0.1710 0.4269 0.3420  7 Ru 2.89-2.96, 1 Ga 3.00



The following is a DFT calculation (PBE-GGA) of crystalline RbSbAsPb2 at its relaxed geometry.

Output
**N(E_F)**: 3.4 states/eV per cell
**Formation energy (no corrections)**: -137 meV per atom

Cell: 4.5597 8.1276 11.4944 Å, 111.53 90.00 90.00°
Last column: nearest neighbours and their distance in Å.
Sites, in units of the cell vectors:
Pb: 0.7500 0.5348 0.1315  3 As 2.88-3.05, 1 Sb 3.19
As: 0.7500 0.6989 0.9320  4 Pb 2.88-3.11
Sb: 0.7500 0.7200 0.4292  4 Pb 3.06-3.22
Pb: 0.7500 0.5494 0.6414  3 Sb 3.06-3.22, 1 As 3.11
Pb: 0.2500 0.4506 0.3586  3 Sb 3.06-3.22, 1 As 3.11
Rb: 0.7500 0.0521 0.7994  3 As 3.71-3.77, 3 Pb 3.81-3.89, 1 Sb 4.12
Sb: 0.2500 0.2800 0.5708  4 Pb 3.06-3.22
Pb: 0.2500 0.4652 0.8685  3 As 2.88-3.05, 1 Sb 3.19
Rb: 0.2500 0.9479 0.2006  3 As 3.71-3.77, 3 Pb 3.81-3.89, 1 Sb 4.12
As: 0.2500 0.3011 0.0680  4 Pb 2.88-3.11



The following is a DFT calculation (PBE-GGA) of crystalline PmCdH8Rh2 at its relaxed geometry.

Output
**N(E_F)**: 2.9 states/eV per cell
**E**: -4.062 eV per atom

Cell: 4.9093 4.9093 6.2029 Å, 66.69 66.69 60.00°
Last column: nearest neighbours and their distance in Å.
Sites, in units of the cell vectors:
H: 0.5733 0.3747 0.1542  1 Rh 1.72
H: 0.3747 0.8979 0.1542  1 Rh 1.72
H: 0.4267 0.6253 0.8458  1 Rh 1.72
H: 0.8979 0.5733 0.1542  1 Rh 1.72
Rh: 0.7041 0.7041 0.8878  4 H 1.71-1.72
H: 0.1927 0.1927 0.4218  1 Rh 1.71
H: 0.1021 0.4267 0.8458  1 Rh 1.72
H: 0.8073 0.8073 0.5782  1 Rh 1.71
Cd: 0.0000 0.0000 0.0000  6 H 2.15
Pm: 0.5000 0.5000 0.5000  6 H 2.31
Rh: 0.2959 0.2959 0.1122  4 H 1.71-1.72
H: 0.6253 0.1021 0.8458  1 Rh 1.72



The following is a DFT calculation (PBE-GGA) of crystalline BaZn2Pd8 at its relaxed geometry.

Output
**N(E_F)**: 5.4 states/eV per cell
**Formation energy from the elements**: 20.9 meV/atom

Cell: 5.3038 5.3038 8.9434 Å, 90.00 90.00 90.00°
Last column: nearest neighbours and their distance in Å.
Sites, in units of the cell vectors:
Zn: 0.0000 0.5000 0.0000  8 Pd 2.61
Pd: 0.2487 0.2487 0.2027  2 Zn 2.61, 4 Pd 2.64-2.67
Pd: 0.2487 0.7513 0.2027  2 Zn 2.61, 4 Pd 2.64-2.67
Pd: 0.7513 0.2487 0.2027  2 Zn 2.61, 4 Pd 2.64-2.67
Pd: 0.2487 0.2487 0.7973  2 Zn 2.61, 4 Pd 2.64-2.67
Pd: 0.2487 0.7513 0.7973  2 Zn 2.61, 4 Pd 2.64-2.67
Ba: 0.5000 0.5000 0.5000  8 Pd 3.26
Pd: 0.7513 0.2487 0.7973  2 Zn 2.61, 4 Pd 2.64-2.67
Pd: 0.7513 0.7513 0.2027  2 Zn 2.61, 4 Pd 2.64-2.67
Pd: 0.7513 0.7513 0.7973  2 Zn 2.61, 4 Pd 2.64-2.67
Zn: 0.5000 0.0000 0.0000  8 Pd 2.61



The following is a DFT calculation (PBE-GGA) of crystalline La2CuAu at its relaxed geometry.

Output
**N(E_F)**: 2.4 states/eV per cell
**Formation energy from the elements**: -289.0 meV/atom

Cell: 4.1289 4.1282 6.5935 Å, 90.00 90.00 90.00°
Last column: nearest neighbours and their distance in Å.
Sites, in units of the cell vectors:
Au: 0.0000 0.0000 0.4667  5 La 3.05-3.09
La: 0.5000 0.5000 0.3148  4 Au 3.09, 1 Cu 3.12
Cu: 0.5000 0.5000 0.7887  5 La 3.06-3.12
La: 0.0000 0.0000 0.9297  1 Au 3.05, 4 Cu 3.06



The following is a DFT calculation (PBE-GGA) of crystalline AgAs2F2 at its relaxed geometry.

Output
**N(E_F)**: 2.6 states/eV per cell
**Distance to the lowest polymorph of the same formula**: 0.19 eV per formula unit
**Formation energy (no corrections)**: -448 meV per atom

Cell: 3.9866 3.9866 5.9523 Å, 70.44 70.44 90.00°
Last column: nearest neighbours and their distance in Å.
Sites, in units of the cell vectors:
Ag: 0.0000 0.0000 0.0000  8 As 3.06, 8 F 3.29
As: 0.6133 0.6133 0.7735  1 As 2.38, 4 F 2.46
F: 0.7500 0.2500 0.5000  4 As 2.46
F: 0.2500 0.7500 0.5000  4 As 2.46
As: 0.3867 0.3867 0.2265  1 As 2.38, 4 F 2.46



The following is a DFT calculation (PBE-GGA) of crystalline KHo2IrO8 at its relaxed geometry.

Output
**N(E_F)**: 4.8 states/eV per cell
**Formation energy (no corrections)**: -1814 meV per atom

Cell: 5.2923 4.0778 7.1512 Å, 75.10 89.51 89.26°
Last column: nearest neighbours and their distance in Å.
Sites, in units of the cell vectors:
O: 0.3192 0.1874 0.0837  1 Ir 2.02
O: 0.4940 0.1803 0.5031  1 O 1.48
O: 0.6808 0.8126 0.9163  1 Ir 2.02
Ho: 0.5160 0.3813 0.7868  7 O 2.29-2.44
O: 0.0520 0.6403 0.2311  1 Ir 1.93
Ir: 0.0000 0.0000 0.0000  6 O 1.87-2.02
O: 0.5060 0.8197 0.4969  1 O 1.48
Ho: 0.4840 0.6187 0.2132  7 O 2.29-2.44
O: 0.7806 0.2023 0.1441  1 Ir 1.87
O: 0.2194 0.7977 0.8559  1 Ir 1.87
O: 0.9480 0.3597 0.7689  1 Ir 1.93
K: 0.0000 0.0000 0.5000  10 O 2.71-2.83



The following is a DFT calculation (PBE-GGA) of crystalline Li2Ge2S5 at its relaxed geometry.

Output
**N(E_F)**: 1.3 states/eV per cell
**Formation energy (no corrections)**: -445 meV per atom

Cell: 4.6538 7.2958 6.3356 Å, 95.82 90.00 108.60°
Last column: nearest neighbours and their distance in Å.
Sites, in units of the cell vectors:
S: 0.1397 0.2794 0.5278  1 Ge 2.18
Ge: 0.8489 0.6978 0.1269  3 S 2.18-2.40
Li: 0.6744 0.3488 0.4253  4 S 2.48-2.68
Ge: 0.1511 0.3022 0.8731  3 S 2.18-2.40
S: 0.8603 0.7206 0.4722  1 Ge 2.18
S: 0.0000 0.0000 0.0000  2 Ge 2.32
S: 0.6784 0.3568 0.0035  3 Ge 2.40-2.48, 1 Li 2.68
S: 0.3216 0.6432 0.9965  3 Ge 2.40-2.48, 1 Li 2.68
Li: 0.3256 0.6512 0.5747  4 S 2.48-2.68



The following is a DFT calculation (PBE-GGA) of crystalline MnGaN at its relaxed geometry.

Output
**N(E_F)**: 1.0 states/eV per cell
**Formation energy (no corrections)**: 7 meV per atom

Cell: 5.5176 5.5176 3.8820 Å, 110.61 110.61 120.32°
Last column: nearest neighbours and their distance in Å.
Sites, in units of the cell vectors:
Ga: 0.6665 0.3335 0.0000  2 N 2.15
N: 0.7625 0.2375 0.5000  3 Mn 1.97-2.06, 2 Ga 2.15
Mn: 0.2275 0.7725 0.0000  3 N 1.97-2.06
N: 0.0125 0.9875 0.0000  3 Mn 1.97-2.06, 2 Ga 2.15
Mn: 0.9775 0.0225 0.5000  3 N 1.97-2.06
Ga: 0.4165 0.5835 0.5000  2 N 2.15



The following is a DFT calculation (PBE-GGA) of crystalline Pr2Sm2Sb5 at its relaxed geometry.

Output
**N(E_F)**: 13.2 states/eV per cell
**Formation energy (no corrections)**: -915 meV per atom

Cell: 8.3862 9.0889 9.0889 Å, 126.15 90.00 90.00°
Last column: nearest neighbours and their distance in Å.
Sites, in units of the cell vectors:
Sb: 0.5000 0.5000 0.5000  2 Sm 3.07, 4 Pr 3.11-3.12
Sm: 0.0000 0.1893 0.8107  7 Sb 3.07-3.32
Sb: 0.8596 0.7824 0.4979  3 Sm 3.19-3.32, 3 Pr 3.28-3.44, 1 Sb 3.30
Pr: 0.3369 0.1601 0.1601  8 Sb 3.11-3.44
Sb: 0.6404 0.2824 0.9979  3 Sm 3.19-3.32, 3 Pr 3.28-3.44, 1 Sb 3.30
Pr: 0.6631 0.8399 0.8399  8 Sb 3.11-3.44
Pr: 0.8369 0.3399 0.3399  8 Sb 3.11-3.44
Sb: 0.0000 0.0000 0.0000  2 Sm 3.07, 4 Pr 3.11-3.12
Sb: 0.3596 0.0021 0.7176  3 Sm 3.19-3.32, 3 Pr 3.28-3.44, 1 Sb 3.30
Sm: 0.5000 0.3107 0.6893  7 Sb 3.07-3.32
Sb: 0.8596 0.4979 0.7824  3 Sm 3.19-3.32, 3 Pr 3.28-3.44, 1 Sb 3.30
Sb: 0.3596 0.7176 0.0021  3 Sm 3.19-3.32, 3 Pr 3.28-3.44, 1 Sb 3.30
Sb: 0.1404 0.5021 0.2176  3 Sm 3.19-3.32, 3 Pr 3.28-3.44, 1 Sb 3.30
Sm: 0.0000 0.8107 0.1893  7 Sb 3.07-3.32
Sb: 0.1404 0.2176 0.5021  3 Sm 3.19-3.32, 3 Pr 3.28-3.44, 1 Sb 3.30
Sm: 0.5000 0.6893 0.3107  7 Sb 3.07-3.32
Sb: 0.6404 0.9979 0.2824  3 Sm 3.19-3.32, 3 Pr 3.28-3.44, 1 Sb 3.30
Pr: 0.1631 0.6601 0.6601  8 Sb 3.11-3.44